(1)
## MgTeAsN2 (PBE)

Data for an optimized crystal structure of MgTeAsN2.

The space group is P4/mmm (No. 123) and the conventional cell measures 3.866, 3.866 and 6.157 Å, with angles of 90.00, 90.00 and 90.00 degrees. The inequivalent atoms are Mg at (0.000, 0.000, 0.000), Te at (0.500, 0.500, 0.000), As at (0.500, 0.500, 0.500) and N at (0.000, 0.500, 0.500).

The calculation puts the raw total energy at -21.110 eV for the cell shown. The calculation puts the raw formation energy at 4.93 eV per formula unit. The value obtained for the energy above the lowest structure with this stoichiometry is 0.000 eV per atom. The calculation puts the theoretical density at 4.599 g/cm³.

(2)
## PrPuGa (PBE)

Data for an optimized crystal structure of PrPuGa.

The space group is I4mm (No. 107) and the conventional cell measures 3.714, 3.714 and 11.754 Å, with angles of 90.00, 90.00 and 90.00 degrees. The inequivalent atoms are Pr at (0.000, 0.000, 0.000), Pu at (0.000, 0.000, 0.291) and Ga at (0.000, 0.000, 0.654).

The calculation puts the raw total energy at -45.432 eV for the cell shown. The value obtained for the energy above the lowest structure with this stoichiometry is 0.000 eV per atom. The calculation puts the theoretical density at 9.311 g/cm³. The formation energy comes out at -0.58 eV/f.u.